Entry 1:
{"formula": "Sr2AcGa", "functional": "PBE", "state": "optimized geometry", "space_group": "R-3m", "delta_e_f_kcal_per_mol_atoms": 1.09, "lattice": [[1.980, 1.143, 12.463], [-1.980, 1.143, 12.463], [0.000, -2.286, 12.463]], "species": ["Sr", "Sr", "Ac", "Ga"], "fractional_positions": [[0.105, 0.105, 0.105], [0.895, 0.895, 0.895], [0.000, 0.000, 0.000], [0.500, 0.500, 0.500]]}



Entry 2:
{"formula": "Sr2AcGa6", "functional": "PBE", "state": "optimized geometry", "space_group": "Immm", "delta_e_f_kcal_per_mol_atoms": -6.79, "lattice": [[-2.006, 4.781, 6.409], [2.006, -4.781, 6.409], [2.006, 4.781, -6.409]], "species": ["Sr", "Sr", "Ac", "Ga", "Ga", "Ga", "Ga", "Ga", "Ga"], "fractional_positions": [[0.138, 0.138, 0.000], [0.862, 0.862, 0.000], [0.500, 0.000, 0.500], [0.098, 0.314, 0.783], [0.199, 0.500, 0.699], [0.469, 0.686, 0.783], [0.531, 0.314, 0.217], [0.801, 0.500, 0.301], [0.902, 0.686, 0.217]]}



Entry 3:
{"formula": "SrAc3Ga", "functional": "PBE", "state": "optimized geometry", "space_group": "Pm-3m", "delta_e_f_kcal_per_mol_atoms": 0.44, "lattice": [[6.179, 0.000, 0.000], [0.000, 6.179, 0.000], [0.000, 0.000, 6.179]], "species": ["Sr", "Ac", "Ac", "Ac", "Ga"], "fractional_positions": [[0.000, 0.000, 0.000], [0.000, 0.500, 0.500], [0.500, 0.000, 0.500], [0.500, 0.500, 0.000], [0.500, 0.500, 0.500]]}



Entry 4:
{"formula": "Sr2AcGa", "functional": "PBE", "state": "optimized geometry", "space_group": "P4/mmm", "delta_e_f_kcal_per_mol_atoms": -2.93, "lattice": [[3.886, 0.000, 0.000], [0.000, 3.886, 0.000], [0.000, 0.000, 10.392]], "species": ["Sr", "Sr", "Ac", "Ga"], "fractional_positions": [[0.000, 0.000, 0.188], [0.000, 0.000, 0.812], [0.500, 0.500, 0.500], [0.500, 0.500, 0.000]]}



Entry 5:
{"formula": "SrAc2Ga2", "functional": "PBE", "state": "optimized geometry", "space_group": "P4/mbm", "delta_e_f_kcal_per_mol_atoms": -8.50, "lattice": [[8.381, 0.000, 0.000], [0.000, 8.381, 0.000], [0.000, 0.000, 4.825]], "species": ["Sr", "Sr", "Ac", "Ac", "Ac", "Ac", "Ga", "Ga", "Ga", "Ga"], "fractional_positions": [[0.000, 0.000, 0.000], [0.500, 0.500, 0.000], [0.170, 0.330, 0.500], [0.330, 0.830, 0.500], [0.670, 0.170, 0.500], [0.830, 0.670, 0.500], [0.113, 0.613, 0.000], [0.387, 0.113, 0.000], [0.613, 0.887, 0.000], [0.887, 0.387, 0.000]]}



Entry 6:
{"formula": "SrAcGa2", "functional": "PBE", "state": "optimized geometry", "space_group": "P4/mmm", "delta_e_f_kcal_per_mol_atoms": -9.16, "lattice": [[3.904, 0.000, 0.000], [0.000, 3.904, 0.000], [0.000, 0.000, 7.908]], "species": ["Sr", "Ac", "Ga", "Ga"], "fractional_positions": [[0.000, 0.000, 0.000], [0.000, 0.000, 0.500], [0.500, 0.500, 0.250], [0.500, 0.500, 0.750]]}



Entry 7:
{"formula": "SrAc3Ga2", "functional": "PBE", "state": "optimized geometry", "space_group": "Pmc2_1", "delta_e_f_kcal_per_mol_atoms": -6.97, "lattice": [[5.196, 0.000, 0.000], [0.000, 9.826, 0.000], [0.000, 0.000, 8.388]], "species": ["Sr", "Sr", "Ac", "Ac", "Ac", "Ac", "Ac", "Ac", "Ga", "Ga", "Ga", "Ga"], "fractional_positions": [[0.000, 0.081, 0.000], [0.000, 0.919, 0.500], [0.000, 0.328, 0.617], [0.000, 0.672, 0.117], [0.500, 0.172, 0.335], [0.500, 0.418, 0.952], [0.500, 0.582, 0.452], [0.500, 0.828, 0.835], [0.000, 0.362, 0.228], [0.000, 0.638, 0.728], [0.500, 0.142, 0.725], [0.500, 0.858, 0.225]]}



Entry 8:
{"formula": "SrAc4Ga5", "functional": "PBE", "state": "optimized geometry", "space_group": "P4/mmm", "delta_e_f_kcal_per_mol_atoms": -9.67, "lattice": [[3.922, 0.000, 0.000], [0.000, 3.922, 0.000], [0.000, 0.000, 19.688]], "species": ["Sr", "Ac", "Ac", "Ac", "Ac", "Ga", "Ga", "Ga", "Ga", "Ga"], "fractional_positions": [[0.000, 0.000, 0.000], [0.000, 0.000, 0.199], [0.000, 0.000, 0.401], [0.000, 0.000, 0.599], [0.000, 0.000, 0.801], [0.500, 0.500, 0.102], [0.500, 0.500, 0.302], [0.500, 0.500, 0.500], [0.500, 0.500, 0.698], [0.500, 0.500, 0.898]]}